1.
# PBE LaTi2Ir2, optimized geometry
# ΔE_f ... -0.59 eV/atom
# Relative energy among the computed polymorphs ... 205.7 meV/atom
data_LaTi2Ir2
_chemical_formula_sum 'La2 Ti4 Ir4'
_symmetry_space_group_name_H-M 'P 4/m b m'
_symmetry_Int_Tables_number 127
_symmetry_space_group_name_Hall '-P 4 2ab'
_cell_length_a 7.854
_cell_length_b 7.854
_cell_length_c 2.912
_cell_angle_alpha 90.00
_cell_angle_beta 90.00
_cell_angle_gamma 90.00
loop_
_atom_site_label
_atom_site_fract_x
_atom_site_fract_y
_atom_site_fract_z
_atom_site_occupancy
La1 0.000 0.000 0.000 1
Ti1 0.142 0.358 0.000 1
Ir1 0.145 0.645 0.500 1

2.
# PBE Ca3Tl2In, optimized geometry
# ΔE_f ... -0.45 eV/atom
data_Ca3Tl2In
_chemical_formula_sum 'Ca3 Tl2 In1'
_symmetry_space_group_name_H-M 'P 4/m m m'
_symmetry_Int_Tables_number 123
_symmetry_space_group_name_Hall '-P 4 2'
_cell_length_a 3.921
_cell_length_b 3.921
_cell_length_c 11.414
_cell_angle_alpha 90.00
_cell_angle_beta 90.00
_cell_angle_gamma 90.00
loop_
_atom_site_label
_atom_site_fract_x
_atom_site_fract_y
_atom_site_fract_z
_atom_site_occupancy
Ca1 0.000 0.000 0.000 1
Ca2 0.000 0.000 0.335 1
Tl1 0.500 0.500 0.169 1
In1 0.500 0.500 0.500 1

3.
# PBE PaTlBi2, optimized geometry
# ΔE_f ... -0.11 eV/atom
# Relative energy among the computed polymorphs ... 0.0 meV/atom
data_PaTlBi2
_chemical_formula_sum 'Pa1 Tl1 Bi2'
_symmetry_space_group_name_H-M 'P 4/m m m'
_symmetry_Int_Tables_number 123
_symmetry_space_group_name_Hall '-P 4 2'
_cell_length_a 4.165
_cell_length_b 4.165
_cell_length_c 6.854
_cell_angle_alpha 90.00
_cell_angle_beta 90.00
_cell_angle_gamma 90.00
loop_
_atom_site_label
_atom_site_fract_x
_atom_site_fract_y
_atom_site_fract_z
_atom_site_occupancy
Pa1 0.000 0.000 0.000 1
Tl1 0.000 0.000 0.500 1
Bi1 0.500 0.500 0.231 1

4.
# PBE ZrScSe, optimized geometry
# Formation energy (no corrections) ... -0.908 eV/atom
# Relative energy among the computed polymorphs ... 103.5 meV/atom
data_ZrScSe
_chemical_formula_sum 'Zr1 Sc1 Se1'
_symmetry_space_group_name_H-M 'P 3 m 1'
_symmetry_Int_Tables_number 156
_symmetry_space_group_name_Hall 'P 3 -2"'
_cell_length_a 3.5565
_cell_length_b 3.5565
_cell_length_c 6.0810
_cell_angle_alpha 90.00
_cell_angle_beta 90.00
_cell_angle_gamma 120.00
loop_
_atom_site_label
_atom_site_fract_x
_atom_site_fract_y
_atom_site_fract_z
_atom_site_occupancy
Zr1 0.0000 0.0000 0.0000 1
Sc1 0.6667 0.3333 0.5974 1
Se1 0.3333 0.6667 0.2979 1

In order of appearance, ρ = 11.45, 6.09, 11.92, 5.36 g cm⁻³.